(1)
DFT (PBE) results for La2AgSe after structural relaxation.

Cell lengths 4.3314, 4.3314, 7.8439 Å; angles 74.01, 74.01, 60.00 degrees
Fractional positions:
Ag: 0.2500 0.2500 0.2500
La: 0.0058 0.0058 0.9832
La: 0.4942 0.4942 0.5168
Se: 0.7500 0.7500 0.7500

Results
Formation energy (no corrections): -1018 meV per atom
Uncorrected energy: -20.26 eV per cell
Space-group type: R-3m, No. 166



(2)
DFT (PBE) results for LaAg8Se6 after structural relaxation.

Cell lengths 8.4713, 8.4713, 8.4713 Å; angles 54.18, 54.18, 54.18 degrees
Fractional positions:
Ag: 0.4087 0.1461 0.8419
Ag: 0.8419 0.4086 0.1461
Ag: 0.8539 0.1581 0.5913
Ag: 0.7669 0.7669 0.7669
Ag: 0.2331 0.2331 0.2331
Ag: 0.5913 0.8539 0.1581
Ag: 0.1461 0.8419 0.4087
Ag: 0.1581 0.5914 0.8539
Se: 0.9186 0.5944 0.2663
Se: 0.7337 0.0814 0.4056
Se: 0.5944 0.2663 0.9186
Se: 0.2663 0.9186 0.5944
Se: 0.4056 0.7337 0.0814
Se: 0.0814 0.4056 0.7337
La: 0.0000 0.0000 0.0000

Results
Formation energy (no corrections): -347 meV per atom
Uncorrected energy: -53.85 eV per cell
Space-group type: R-3, No. 148



(3)
DFT (PBE) results for LaAg2Se after structural relaxation.

Cell lengths 3.9035, 3.9694, 6.7030 Å; angles 72.78, 90.00, 90.00 degrees
Fractional positions:
Ag: 0.0000 0.7822 0.0617
Ag: 0.5000 0.2198 0.1861
Se: 0.5000 0.9593 0.7056
La: 0.0000 0.5387 0.5467

Results
Formation energy (no corrections): -687 meV per atom
Uncorrected energy: -16.86 eV per cell
Space-group type: Amm2, No. 38



(4)
DFT (PBE) results for LaAgSe2 after structural relaxation.

Cell lengths 7.1833, 7.1833, 7.1833 Å; angles 148.08, 147.40, 46.27 degrees
Fractional positions:
Se: 0.7879 0.2879 0.5000
Se: 0.0326 0.0326 0.0000
La: 0.2025 0.7025 0.5000
Ag: 0.4771 0.4771 0.0000

Results
Formation energy (no corrections): -1123 meV per atom
Uncorrected energy: -19.24 eV per cell
Space-group type: Imm2, No. 44



(5)
DFT (PBE) results for LaAgSe2 after structural relaxation.

Cell lengths 7.9883, 4.9639, 3.7920 Å; angles 90.06, 61.58, 128.53 degrees
Fractional positions:
La: 0.5000 0.5000 0.0000
Ag: 0.0000 0.5000 0.5000
Se: 0.0000 0.0000 0.0000
Se: 0.5000 0.0000 0.5000

Results
Formation energy (no corrections): -1101 meV per atom
Uncorrected energy: -19.15 eV per cell
Space-group type: Cmmm, No. 65



(6)
DFT (PBE) results for LaAg2Se after structural relaxation.

Cell lengths 4.1439, 4.1419, 5.8329 Å; angles 90.00, 90.00, 90.00 degrees
Fractional positions:
La: 0.5000 0.5000 0.2500
Ag: 0.0000 0.0000 0.5035
Ag: 0.0000 0.0000 0.9965
Se: 0.5000 0.5000 0.7500

Results
Formation energy (no corrections): -418 meV per atom
Uncorrected energy: -15.79 eV per cell
Space-group type: P4/mmm, No. 123



(7)
DFT (PBE) results for LaAg2Se2 after structural relaxation.

Cell lengths 5.1095, 5.1095, 5.8312 Å; angles 64.02, 64.02, 90.00 degrees
Fractional positions:
Ag: 0.3561 0.3561 0.2878
Ag: 0.6439 0.6439 0.7122
Se: 0.7500 0.2500 0.5000
Se: 0.2500 0.7500 0.5000
La: 0.0000 0.0000 0.0000

Results
Formation energy (no corrections): -633 meV per atom
Uncorrected energy: -20.76 eV per cell
ΔE to the lowest computed polymorph: 0.159 eV per atom
Space-group type: I4/mmm, No. 139



(8)
DFT (PBE) results for LaAgSe2 after structural relaxation.

Cell lengths 4.6170, 4.0257, 6.2223 Å; angles 71.82, 90.00, 90.00 degrees
Fractional positions:
Se: 0.0000 0.0880 0.9433
Se: 0.5000 0.3251 0.4594
Ag: 0.0000 0.4413 0.2702
La: 0.5000 0.6456 0.8271

Results
Formation energy (no corrections): -1233 meV per atom
Uncorrected energy: -19.68 eV per cell
Space-group type: Pm, No. 6



Please write out number 7 again, unchanged.
DFT (PBE) results for LaAg2Se2 after structural relaxation.

Cell lengths 5.1095, 5.1095, 5.8312 Å; angles 64.02, 64.02, 90.00 degrees
Fractional positions:
Ag: 0.3561 0.3561 0.2878
Ag: 0.6439 0.6439 0.7122
Se: 0.7500 0.2500 0.5000
Se: 0.2500 0.7500 0.5000
La: 0.0000 0.0000 0.0000

Results
Formation energy (no corrections): -633 meV per atom
Uncorrected energy: -20.76 eV per cell
ΔE to the lowest computed polymorph: 0.159 eV per atom
Space-group type: I4/mmm, No. 139



Please write out number 8 again, unchanged.
DFT (PBE) results for LaAgSe2 after structural relaxation.

Cell lengths 4.6170, 4.0257, 6.2223 Å; angles 71.82, 90.00, 90.00 degrees
Fractional positions:
Se: 0.0000 0.0880 0.9433
Se: 0.5000 0.3251 0.4594
Ag: 0.0000 0.4413 0.2702
La: 0.5000 0.6456 0.8271

Results
Formation energy (no corrections): -1233 meV per atom
Uncorrected energy: -19.68 eV per cell
Space-group type: Pm, No. 6



Look up the formation energy (no corrections) of the sixth one. -418 meV per atom



formation energy (no corrections) of number 8 (LaAgSe2)? -1233 meV per atom